(1)
NaVPdS2 | PBE-GGA | relaxed

## Properties
**DFT total energy**: -0.2673 Ry per atom
**Magnetic moment**: 2.6 μB per cell
**Crystal system**: tetragonal
**Energy relative to the elements, uncorrected**: 1140.4 meV/atom
**Density of states at the Fermi level**: 6.22 states/eV/f.u.

Unit cell a=4.759 b=4.759 c=4.569 alpha=90.00 beta=90.00 gamma=90.00
Space group P4/mmm (No. 123)
One atom of each set of equivalent atoms:
Na (0.000, 0.000, 0.000)
V (0.000, 0.000, 0.500)
Pd (0.500, 0.500, 0.500)
S (0.000, 0.500, 0.000)

---

(2)
SrEuAu | PBE-GGA | relaxed

## Properties
**DFT total energy**: -0.4120 Ry per atom
**Magnetic moment**: 14.9 μB per cell
**Energy of formation from the pure elements**: -527 meV/atom
**Crystal system**: tetragonal
**Density of states at the Fermi level**: 10.33 states/eV/f.u.

Unit cell a=3.845 b=3.845 c=13.790 alpha=90.00 beta=90.00 gamma=90.00
Space group I4mm (No. 107)
One atom of each set of equivalent atoms:
Sr (0.000, 0.000, 0.000)
Eu (0.000, 0.000, 0.263)
Au (0.000, 0.000, 0.638)

---

(3)
Pm12Co3C5 | PBE-GGA | relaxed

## Properties
**DFT total energy**: -0.4495 Ry per atom
**Magnetic moment**: 0.0 μB per cell
**Energy of formation from the pure elements**: 107 meV/atom
**Crystal system**: cubic
**Density of states at the Fermi level**: 11.75 states/eV/f.u.

Unit cell a=15.704 b=15.704 c=15.704 alpha=90.00 beta=90.00 gamma=90.00
Space group Ia-3d (No. 230)
One atom of each set of equivalent atoms:
Pm (0.026, 0.058, 0.652)
Co (0.000, 0.250, 0.125)
C (0.000, 0.000, 0.000)
C (0.000, 0.250, 0.375)

---

(4)
TaNiHW2 | PBE-GGA | relaxed

## Properties
**DFT total energy**: -0.6815 Ry per atom
**Magnetic moment**: 0.0 μB per cell
**Crystal system**: tetragonal
**Density of states at the Fermi level**: 3.83 states/eV/f.u.

Unit cell a=3.938 b=3.938 c=4.121 alpha=90.00 beta=90.00 gamma=90.00
Space group P4/mmm (No. 123)
One atom of each set of equivalent atoms:
Ta (0.000, 0.000, 0.000)
Ni (0.500, 0.500, 0.000)
H (0.500, 0.500, 0.500)
W (0.000, 0.500, 0.500)